This record from Alexandria via LeMat-Bulk describes Rb2CePbI8 after structural relaxation. The functional is PBE.

```
Rb2CePbI8
1.0
8.683 -0.064 -0.003
-0.140 7.555 -0.009
0.006 0.012 9.716
I Ce Rb Pb
8 1 2 1
direct
0.315 0.219 0.499
0.883 0.238 0.769
0.305 0.199 0.001
0.117 0.762 0.231
0.882 0.237 0.231
0.685 0.781 0.501
0.695 0.801 0.999
0.118 0.763 0.769
0.000 0.000 0.000
0.500 0.499 0.746
0.500 0.501 0.254
0.000 0.000 0.500
```

Output
**Size of the total moment**: 0.1 μB/cell
**Formation energy without anion corrections**: -1.101 eV/atom
**Electronic total energy**: -37.19 eV for the cell shown

This record from Alexandria via LeMat-Bulk describes Pm3Pr3Ga2 after structural relaxation. The functional is PBE.

```
Pm3Pr3Ga2
1.0
-2.443 -3.132 -0.761
4.455 -3.821 1.416
-2.107 -3.449 10.232
Pm Pr Ga
3 3 2
direct
0.634 0.999 0.733
0.366 0.001 0.267
0.500 0.500 0.000
0.836 0.467 0.328
0.164 0.533 0.672
0.000 0.000 0.000
0.759 0.857 0.483
0.241 0.143 0.517
```

Output
**Size of the total moment**: 0.0 μB/cell
**Formation energy**: -0.198 eV per atom
**Electronic total energy**: -36.23 eV for the cell shown

This record from Alexandria via LeMat-Bulk describes SiPt2Rh after structural relaxation. The functional is PBE.

```
SiPt2Rh
1.0
-2.786 4.537 -0.308
-5.065 -0.034 -1.669
3.660 -1.595 3.535
Rh Pt Si
1 2 1
direct
0.455 0.455 0.000
0.750 0.250 0.500
0.043 0.043 0.000
0.252 0.752 0.500
```

Output
**Size of the total moment**: 0.0 μB/cell
**Formation energy without anion corrections**: -0.437 eV/atom
**Electronic total energy**: -26.61 eV for the cell shown

This record from Alexandria via LeMat-Bulk describes CuAgP after structural relaxation. The functional is PBE.

```
CuAgP
1.0
-1.777 -1.103 3.337
1.525 -2.716 -2.410
3.160 0.217 1.754
Ag P Cu
1 1 1
direct
0.000 0.000 0.000
0.667 0.333 0.500
0.333 0.667 0.500
```

Output
**Size of the total moment**: 0.0 μB/cell
**Formation energy**: 0.173 eV per atom
**Electronic total energy**: -11.84 eV for the cell shown

This record from Alexandria via LeMat-Bulk describes CoIrPtRh after structural relaxation. The functional is PBE.

```
CoIrPtRh
1.0
2.714 0.000 0.000
0.000 2.714 0.000
0.000 0.000 7.525
Co Ir Pt Rh
1 1 1 1
direct
0.500 0.500 0.328
0.000 0.000 0.560
0.000 0.000 0.084
0.500 0.500 0.812
```

Output
**Size of the total moment**: 1.5 μB/cell
**Formation energy**: -0.034 eV per atom
**Electronic total energy**: -29.50 eV for the cell shown

This record from Alexandria via LeMat-Bulk describes Pu2TaC after structural relaxation. The functional is PBE.

```
Pu2TaC
1.0
-2.191 -0.755 2.102
0.770 -1.669 2.532
1.238 6.872 6.086
Pu C Ta
2 1 1
direct
0.111 0.111 0.668
0.889 0.889 0.332
0.500 0.500 0.500
0.000 0.000 0.000
```

Output
**Size of the total moment**: 9.9 μB/cell
**Formation energy**: 0.513 eV per atom
**Electronic total energy**: -47.69 eV for the cell shown